Crystalline MnBeCr2O6 at its relaxed geometry. Source: the Alexandria database, functional PBE with a Hubbard U.

Unit cell a=4.9029 b=4.9029 c=14.0153 alpha=90.00 beta=90.00 gamma=120.00
Space group R3 (No. 146, hexagonal axes)
Symmetry-distinct sites (fractional):
Mn1 0.0000 0.0000 0.0000 x3
Be1 0.0000 0.0000 0.5656 x3
Cr1 0.0000 0.0000 0.3132 x3
Cr2 0.0000 0.0000 0.8041 x3
O1 0.0180 0.6790 0.0657 x9
O2 0.0332 0.3419 0.5729 x9

Calculated values
size of the total moment: 9.00 μB per formula unit
final energy: -7.461 eV per atom